Record 1
## LaScNi (PBE)

Data for LaScNi after structural relaxation.

Values from the calculation:
The value obtained for the calculated density is 5.79 g/cm³. The density of states at the Fermi level comes out at 14.17 states/eV/cell. The calculation puts the energy of formation from the pure elements at 0.58 eV per atom. The total magnetic moment comes out at 0.0 μB/f.u.

a b c (Å): 6.527 6.527 6.527
angles (deg): 90.00 90.00 90.00
Sites, in units of the cell vectors:
1 La 0.000 0.000 0.000
2 La 0.000 0.500 0.500
3 La 0.500 0.000 0.500
4 La 0.500 0.500 0.000
5 Sc 0.250 0.250 0.250
6 Sc 0.250 0.750 0.750
7 Sc 0.750 0.250 0.750
8 Sc 0.750 0.750 0.250
9 Ni 0.250 0.250 0.750
10 Ni 0.250 0.750 0.250
11 Ni 0.750 0.250 0.250
12 Ni 0.750 0.750 0.750


Record 2
## LaSiRu2 (PBE)

Data for LaSiRu2 after structural relaxation.

Values from the calculation:
The value obtained for the calculated density is 8.03 g/cm³. The density of states at the Fermi level comes out at 6.61 states/eV/cell. The formation energy (no corrections) is -0.142 eV per atom. The total magnetic moment comes out at 0.0 μB/f.u.

a b c (Å): 9.994 3.155 5.149
angles (deg): 90.00 109.81 90.00
Sites, in units of the cell vectors:
1 La 0.000 0.000 0.000
2 La 0.500 0.500 0.000
3 Si 0.289 0.500 0.349
4 Si 0.789 0.000 0.349
5 Ru 0.223 0.000 0.625
6 Ru 0.492 0.000 0.508
7 Ru 0.723 0.500 0.625
8 Ru 0.992 0.500 0.508


Record 3
## Be2NbW (PBE)

Data for Be2NbW after structural relaxation.

Values from the calculation:
The value obtained for the calculated density is 9.55 g/cm³. The density of states at the Fermi level comes out at 8.70 states/eV/cell. The calculation puts the energy of formation from the pure elements at 0.18 eV per atom. The total magnetic moment comes out at 0.0 μB/f.u.

a b c (Å): 5.896 5.896 5.896
angles (deg): 90.00 90.00 90.00
Sites, in units of the cell vectors:
1 Be 0.250 0.250 0.250
2 Be 0.250 0.250 0.750
3 Be 0.250 0.750 0.250
4 Be 0.250 0.750 0.750
5 Be 0.750 0.250 0.250
6 Be 0.750 0.250 0.750
7 Be 0.750 0.750 0.250
8 Be 0.750 0.750 0.750
9 Nb 0.000 0.000 0.000
10 Nb 0.000 0.500 0.500
11 Nb 0.500 0.000 0.500
12 Nb 0.500 0.500 0.000
13 W 0.000 0.000 0.500
14 W 0.000 0.500 0.000
15 W 0.500 0.000 0.000
16 W 0.500 0.500 0.500


Record 4
## AlCdFe3 (PBE)

Data for AlCdFe3 after structural relaxation.

Values from the calculation:
The value obtained for the calculated density is 6.05 g/cm³. The density of states at the Fermi level comes out at 18.98 states/eV/cell. The calculation puts the energy of formation from the pure elements at 0.93 eV per atom. The total magnetic moment comes out at 6.8 μB/f.u.

a b c (Å): 4.385 4.385 4.385
angles (deg): 90.00 90.00 90.00
Sites, in units of the cell vectors:
1 Al 0.000 0.000 0.000
2 Cd 0.500 0.500 0.500
3 Fe 0.000 0.000 0.500
4 Fe 0.000 0.500 0.000
5 Fe 0.500 0.000 0.000